This record from Alexandria via LeMat-Bulk describes crystalline Ca2TmTl at its relaxed geometry. The functional is PBE.

Structure (extended XYZ):
```
4
Lattice="4.837 0.000 0.000 0.000 4.837 0.000 0.000 0.000 5.198" Properties=species:S:1:pos:R:3 pbc="T T T"
Ca 0.000 2.419 0.000
Ca 2.419 0.000 0.000
Tm 0.000 0.000 2.599
Tl 2.419 2.419 2.599
```

Summary:
Crystal system: tetragonal
E above lowest polymorph (eV/f.u.): 0.00
Fermi-level density of states (states/eV per cell): 1.12
Formation energy from the elements (eV per atom): -0.15
Total energy (eV/atom): -2.86

=====

This record from Alexandria via LeMat-Bulk describes crystalline Ca2TmTl9 at its relaxed geometry. The functional is PBE.

Structure (extended XYZ):
```
12
Lattice="4.824 0.000 0.000 0.000 4.824 0.000 0.000 0.000 14.456" Properties=species:S:1:pos:R:3 pbc="T T T"
Ca 0.000 0.000 2.475
Ca 0.000 0.000 11.981
Tm 0.000 0.000 7.228
Tl 0.000 2.412 0.000
Tl 0.000 2.412 4.888
Tl 0.000 2.412 9.568
Tl 2.412 0.000 0.000
Tl 2.412 0.000 4.888
Tl 2.412 0.000 9.568
Tl 2.412 2.412 2.403
Tl 2.412 2.412 7.228
Tl 2.412 2.412 12.052
```

Summary:
Crystal system: tetragonal
Fermi-level density of states (states/eV per cell): 7.40
Formation energy from the elements (eV per atom): -0.21
Total energy (eV/atom): -2.70

=====

This record from Alexandria via LeMat-Bulk describes crystalline Ca2TmTl at its relaxed geometry. The functional is PBE.

Structure (extended XYZ):
```
4
Lattice="1.854 1.071 11.208 -1.854 1.071 11.208 0.000 -2.141 11.208" Properties=species:S:1:pos:R:3 pbc="T T T"
Ca 0.000 0.000 0.000
Ca 0.000 0.000 6.079
Tm 0.000 0.000 14.276
Tl 0.000 0.000 19.850
```

Summary:
Crystal system: trigonal
E above lowest polymorph (eV/f.u.): 0.38
Fermi-level density of states (states/eV per cell): 4.84
Formation energy from the elements (eV per atom): -0.06
Total energy (eV/atom): -2.77

=====

This record from Alexandria via LeMat-Bulk describes crystalline CaTmTl at its relaxed geometry. The functional is PBE.

Structure (extended XYZ):
```
3
Lattice="5.309 0.000 0.000 -2.654 4.597 0.000 0.000 0.000 3.737" Properties=species:S:1:pos:R:3 pbc="T T T"
Ca 0.000 0.000 0.000
Tm 0.000 3.065 1.741
Tl 2.654 1.532 2.356
```

Summary:
Crystal system: trigonal
E above lowest polymorph (eV/f.u.): 0.44
Fermi-level density of states (states/eV per cell): 1.71
Formation energy from the elements (eV per atom): -0.14
Total energy (eV/atom): -3.09